Entry from Alexandria via LeMat-Bulk: a relaxed structure of Tl5Bi2Au2 (PBE-GGA). Values from VASP.

```
&SYSTEM
  ibrav = 0, nat = 18, ntyp = 3
/
ATOMIC_SPECIES
Tl 204.38 Tl.upf
Au 196.97 Au.upf
Bi 208.98 Bi.upf
CELL_PARAMETERS angstrom
6.343 0.000 -2.231
-1.753 8.681 -4.983
-0.080 -0.278 9.905
ATOMIC_POSITIONS crystal
Tl 0.185 0.294 0.296
Au 0.188 0.000 0.000
Bi 0.446 0.852 0.790
Au 0.035 0.171 0.500
Au 0.688 0.500 0.000
Tl 0.509 0.121 0.500
Bi 0.656 0.148 0.210
Tl 0.388 0.498 0.704
Tl 0.009 0.879 0.500
Tl 0.685 0.502 0.296
Bi 0.156 0.562 0.210
Bi 0.946 0.438 0.790
Tl 0.318 0.238 0.879
Tl 0.939 0.859 0.121
Tl 0.818 0.141 0.879
Tl 0.439 0.762 0.121
Au 0.535 0.829 0.500
Tl 0.888 0.706 0.704
```

Results
Density of states at the Fermi level, states/eV/f.u.: 3.22
DFT formation energy, meV/atom: 2.1
E_tot, hartree per atom: -0.1067

Entry from Alexandria via LeMat-Bulk: a relaxed structure of Pu2MgGe (PBE-GGA). Values from VASP.

```
&SYSTEM
  ibrav = 0, nat = 4, ntyp = 3
/
ATOMIC_SPECIES
Pu 244.00 Pu.upf
Ge 72.64 Ge.upf
Mg 24.30 Mg.upf
CELL_PARAMETERS angstrom
-4.458 0.591 -1.287
0.959 -1.478 -3.998
-0.912 -4.074 1.288
ATOMIC_POSITIONS crystal
Pu 0.000 0.000 0.500
Ge 0.500 0.500 0.500
Mg 0.500 0.000 0.000
Pu 0.000 0.500 0.000
```

Results
Density of states at the Fermi level, states/eV/f.u.: 10.31
DFT formation energy, meV/atom: -181.1
E_tot, hartree per atom: -0.3271

Entry from Alexandria via LeMat-Bulk: a relaxed structure of Tb2EuSc (PBE-GGA). Values from VASP.

```
&SYSTEM
  ibrav = 0, nat = 4, ntyp = 3
/
ATOMIC_SPECIES
Tb 158.93 Tb.upf
Eu 151.96 Eu.upf
Sc 44.96 Sc.upf
CELL_PARAMETERS angstrom
-0.588 3.465 -1.374
-4.547 -1.944 -2.954
-3.420 1.195 4.479
ATOMIC_POSITIONS crystal
Tb 0.000 0.000 0.500
Eu 0.500 0.500 0.500
Sc 0.500 0.000 0.000
Tb 0.000 0.500 0.000
```

Results
Density of states at the Fermi level, states/eV/f.u.: 7.26
DFT formation energy, meV/atom: 179.6
E_tot, hartree per atom: -0.2310

Entry from Alexandria via LeMat-Bulk: a relaxed structure of CaBCl3 (PBE-GGA). Values from VASP.

```
&SYSTEM
  ibrav = 0, nat = 5, ntyp = 3
/
ATOMIC_SPECIES
Ca 40.08 Ca.upf
B 10.81 B.upf
Cl 35.45 Cl.upf
CELL_PARAMETERS angstrom
4.655 0.000 0.000
0.000 4.655 0.000
0.000 0.000 4.655
ATOMIC_POSITIONS crystal
Ca 0.500 0.500 0.500
B 0.000 0.000 0.000
Cl 0.000 0.000 0.500
Cl 0.500 0.000 0.000
Cl 0.000 0.500 0.000
```

Results
Density of states at the Fermi level, states/eV/f.u.: 0.61
E_tot, hartree per atom: -0.1242

- Among the records above, which one has the lowest density of states at the Fermi level?
  CaBCl3

- What is the formula in the fourth record?
  CaBCl3

- Number 3 is which compound?
  Tb2EuSc

- Which value of density of states at the Fermi level does entry 4 give?
  0.61 states/eV/f.u.